# 1
The following is a DFT calculation (PBE) of a geometry-optimized TbScBeRu structure.

Calculated values
raw total energy = -24.72 eV per formula unit
energy relative to the elements = -0.190 eV per atom
space-group type = F-43m

Unit cell a=4.696 b=4.696 c=4.696 alpha=60.00 beta=60.00 gamma=60.00
Positions (direct):
1 Sc 0.500 0.500 0.500
2 Ru 0.750 0.750 0.750
3 Tb 0.000 0.000 0.000
4 Be 0.250 0.250 0.250



# 2
The following is a DFT calculation (PBE) of a geometry-optimized Ti2NbCu2 structure.

Calculated values
relative energy among the computed polymorphs = 0.00 eV/f.u.
raw total energy = -34.01 eV per formula unit
energy relative to the elements = 0.008 eV per atom
space-group type = Cmmm

Unit cell a=2.876 b=3.819 c=7.311 alpha=74.86 beta=90.00 gamma=90.00
Positions (direct):
1 Ti 0.500 0.382 0.235
2 Ti 0.500 0.618 0.765
3 Nb 0.000 0.000 0.000
4 Cu 0.000 0.199 0.601
5 Cu 0.000 0.801 0.399



# 3
The following is a DFT calculation (PBE) of a geometry-optimized YErTe2S structure.

Calculated values
energy relative to the elements, uncorrected = -139.68 kJ/mol of atoms
raw total energy = -28.68 eV per formula unit
space-group type = P4/nmm

Unit cell a=4.381 b=4.381 c=15.592 alpha=90.00 beta=90.00 gamma=90.00
Positions (direct):
1 Y 0.500 0.000 0.601
2 Y 0.000 0.500 0.399
3 Er 0.500 0.000 0.114
4 Er 0.000 0.500 0.886
5 Te 0.000 0.500 0.701
6 Te 0.000 0.500 0.091
7 Te 0.500 0.000 0.909
8 Te 0.500 0.000 0.299
9 S 0.000 0.000 0.500
10 S 0.500 0.500 0.500



| no. | DOS at the Fermi energy (states/eV/f.u.) |
| --- | --- |
| 1 | 3.59 |
| 2 | 4.72 |
| 3 | 1.42 |